# 1
The following is a GGA-PBE calculation of a relaxed structure of Ca2ReIr, from the Alexandria database.

Cell and atoms, written as POSCAR:
```
Ca2ReIr
1.0
1.5513 0.8957 10.2875
-1.5513 0.8957 10.2875
0.0000 -1.7913 10.2875
Ca Re Ir
2 1 1
direct
0.0000 0.0000 0.0000 Ca
0.2204 0.2204 0.2204 Ca
0.4740 0.4740 0.4740 Re
0.7440 0.7440 0.7440 Ir
```

Properties
Energy of formation from the pure elements: 0.664 eV per atom
Total magnetization: 0.00 μB/f.u.
Energy above the lowest structure with this stoichiometry: 0.4830 eV/atom

# 2
The following is a GGA-PBE calculation of a relaxed structure of CaReIr, from the Alexandria database.

Cell and atoms, written as POSCAR:
```
CaReIr
1.0
-1.4123 1.9660 5.3931
1.4123 -1.9660 5.3931
1.4123 1.9660 -5.3931
Ca Re Ir
1 1 1
direct
0.0000 0.0000 0.0000 Ca
0.2869 0.2869 0.0000 Re
0.7064 0.7064 0.0000 Ir
```

Properties
Energy of formation from the pure elements: 0.160 eV per atom
Total magnetization: 0.00 μB/f.u.
Energy above the lowest structure with this stoichiometry: 0.3052 eV/atom

# 3
The following is a GGA-PBE calculation of a relaxed structure of Ca2ReIr, from the Alexandria database.

Cell and atoms, written as POSCAR:
```
Ca2ReIr
1.0
2.8647 -4.7630 0.0000
2.8647 4.7630 0.0000
-0.8837 0.0000 2.7924
Ca Re Ir
2 1 1
direct
0.0000 0.5000 0.0000 Ca
0.5000 0.0000 0.0000 Ca
0.0000 0.0000 0.5000 Re
0.5000 0.5000 0.5000 Ir
```

Properties
Energy of formation from the pure elements: 0.541 eV per atom
Total magnetization: 0.00 μB/f.u.
Energy above the lowest structure with this stoichiometry: 0.3602 eV/atom

Question: Which value of energy of formation from the pure elements does entry 1 give?
Answer: 0.664 eV per atom